No. 1
DFT (PBE) results for an optimized crystal structure of SrHoAuS3.

Total moment ... 0.0006 μB per atom
Uncorrected energy ... -62.19 eV for the cell shown
Mass density ... 6.504 Mg/m³

Geometry as CIF:
```
data_SrHoAuS3
_chemical_formula_sum 'Sr2 Ho2 Au2 S6'
_symmetry_space_group_name_H-M 'P 1'
_symmetry_Int_Tables_number 1
_cell_length_a 9.0016
_cell_length_b 9.0016
_cell_length_c 8.2311
_cell_angle_alpha 101.64
_cell_angle_beta 101.64
_cell_angle_gamma 25.28
loop_
_symmetry_equiv_pos_as_xyz
'x,y,z'
loop_
_atom_site_label
_atom_site_type_symbol
_atom_site_fract_x
_atom_site_fract_y
_atom_site_fract_z
Au1 Au 0.5401 0.5401 0.2190
Sr1 Sr 0.8696 0.8696 0.4226
S1 S 0.0000 0.0000 0.0000
S2 S 0.6852 0.6852 0.3288
S3 S 0.5000 0.5000 0.5000
S4 S 0.3148 0.3148 0.6712
Au2 Au 0.4599 0.4599 0.7810
Ho1 Ho 0.1643 0.1643 0.0890
S5 S 0.6753 0.6753 0.8641
Sr2 Sr 0.1304 0.1304 0.5774
S6 S 0.3247 0.3247 0.1359
Ho2 Ho 0.8357 0.8357 0.9110
```


No. 2
DFT (PBE) results for an optimized crystal structure of SrHoAuS3.

Total moment ... 0.0001 μB per atom
Uncorrected energy ... -62.43 eV for the cell shown
Mass density ... 6.428 Mg/m³

Geometry as CIF:
```
data_SrHoAuS3
_chemical_formula_sum 'Sr2 Ho2 Au2 S6'
_symmetry_space_group_name_H-M 'P 1'
_symmetry_Int_Tables_number 1
_cell_length_a 7.6854
_cell_length_b 3.9821
_cell_length_c 9.5859
_cell_angle_alpha 90.00
_cell_angle_beta 106.04
_cell_angle_gamma 90.00
loop_
_symmetry_equiv_pos_as_xyz
'x,y,z'
loop_
_atom_site_label
_atom_site_type_symbol
_atom_site_fract_x
_atom_site_fract_y
_atom_site_fract_z
S1 S 0.0615 0.2500 0.3356
S2 S 0.5681 0.2500 0.3648
S3 S 0.3058 0.7500 0.0445
S4 S 0.6942 0.2500 0.9555
Sr1 Sr 0.2499 0.2500 0.7864
Au1 Au 0.1227 0.2500 0.0917
Ho1 Ho 0.3108 0.7500 0.3410
S5 S 0.9385 0.7500 0.6644
S6 S 0.4319 0.7500 0.6352
Sr2 Sr 0.7501 0.7500 0.2136
Au2 Au 0.8773 0.7500 0.9083
Ho2 Ho 0.6892 0.2500 0.6590
```


No. 3
DFT (PBE) results for an optimized crystal structure of Ho5SbAu2.

Total moment ... 0.0026 μB per atom
Uncorrected energy ... -73.53 eV for the cell shown
Mass density ... 9.701 Mg/m³

Geometry as CIF:
```
data_Ho5SbAu2
_chemical_formula_sum 'Ho10 Sb2 Au4'
_symmetry_space_group_name_H-M 'P 1'
_symmetry_Int_Tables_number 1
_cell_length_a 7.3795
_cell_length_b 7.3795
_cell_length_c 9.9108
_cell_angle_alpha 111.86
_cell_angle_beta 111.86
_cell_angle_gamma 90.00
loop_
_symmetry_equiv_pos_as_xyz
'x,y,z'
loop_
_atom_site_label
_atom_site_type_symbol
_atom_site_fract_x
_atom_site_fract_y
_atom_site_fract_z
Ho1 Ho 0.0048 0.8301 0.3349
Ho2 Ho 0.1699 0.6699 0.6651
Ho3 Ho 0.9952 0.1699 0.6651
Ho4 Ho 0.6699 0.4952 0.6651
Sb1 Sb 0.7500 0.7500 0.5000
Ho5 Ho 0.4952 0.9952 0.6651
Au1 Au 0.3718 0.8718 0.0000
Ho6 Ho 0.0000 0.0000 0.0000
Ho7 Ho 0.5048 0.0048 0.3349
Ho8 Ho 0.5000 0.5000 0.0000
Ho9 Ho 0.3301 0.5048 0.3349
Au2 Au 0.8718 0.6282 0.0000
Sb2 Sb 0.2500 0.2500 0.5000
Au3 Au 0.6282 0.1282 0.0000
Ho10 Ho 0.8301 0.3301 0.3349
Au4 Au 0.1282 0.3718 0.0000
```


No. 4
DFT (PBE) results for an optimized crystal structure of Ho3Sb4Au3.

Total moment ... 0.0002 μB per atom
Uncorrected energy ... -96.09 eV for the cell shown
Mass density ... 10.849 Mg/m³

Geometry as CIF:
```
data_Ho3Sb4Au3
_chemical_formula_sum 'Ho6 Sb8 Au6'
_symmetry_space_group_name_H-M 'P 1'
_symmetry_Int_Tables_number 1
_cell_length_a 8.5518
_cell_length_b 8.5518
_cell_length_c 8.5518
_cell_angle_alpha 109.47
_cell_angle_beta 109.47
_cell_angle_gamma 109.47
loop_
_symmetry_equiv_pos_as_xyz
'x,y,z'
loop_
_atom_site_label
_atom_site_type_symbol
_atom_site_fract_x
_atom_site_fract_y
_atom_site_fract_z
Sb1 Sb 0.0000 0.3207 0.5000
Au1 Au 0.2500 0.6250 0.8750
Au2 Au 0.8750 0.7500 0.1250
Sb2 Sb 0.8207 0.0000 0.0000
Ho1 Ho 0.3750 0.7500 0.6250
Ho2 Ho 0.7500 0.3750 0.1250
Sb3 Sb 0.6793 0.1793 0.6793
Au3 Au 0.3750 0.1250 0.7500
Sb4 Sb 0.5000 0.5000 0.8207
Au4 Au 0.6250 0.2500 0.3750
Sb5 Sb 0.5000 0.5000 0.3206
Ho3 Ho 0.8750 0.6250 0.7500
Sb6 Sb 0.0000 0.8207 0.5000
Ho4 Ho 0.6250 0.8750 0.2500
Au5 Au 0.1250 0.3750 0.2500
Ho5 Ho 0.2500 0.1250 0.3750
Sb7 Sb 0.3206 0.0000 0.0000
Sb8 Sb 0.1793 0.6793 0.1793
Ho6 Ho 0.1250 0.2500 0.8750
Au6 Au 0.7500 0.8750 0.6250
```